The following is a PBE calculation of PmAl2Ni9 after structural relaxation, from Alexandria.

a = 4.8419 Å, b = 4.8419 Å, c = 23.0955 Å
α = 90.00°, β = 90.00°, γ = 120.00°
With the nearest neighbours (Å) after each atom.
Space group R-3m (No. 166, hexagonal axes)
Symmetry-distinct sites (fractional):
Pm1 0.0000 0.0000 0.0000 [3 per cell]  6 Ni 2.80
Al1 0.0000 0.0000 0.1447 [6 per cell]  12 Ni 2.70-2.84, 3 Al 2.97
Ni1 0.0000 0.0000 0.3340 [6 per cell]  6 Ni 2.47
Ni2 0.0000 0.0000 0.5000 [3 per cell]  6 Ni 2.31
Ni3 0.0066 0.5033 0.9119 [18 per cell]  7 Ni 2.31-2.47

Energy above the lowest structure with this stoichiometry ... 0.70 eV/f.u.
M_tot ... 0.014 μB/f.u.

---

The following is a PBE calculation of Ce2NdPu3Se6 after structural relaxation, from Alexandria.

a = 18.2584 Å, b = 4.1558 Å, c = 8.3982 Å
α = 90.00°, β = 104.00°, γ = 90.00°
With the nearest neighbours (Å) after each atom.
Space group C2/m (No. 12)
Symmetry-distinct sites (fractional):
Ce1 0.1674 0.0000 0.3347 [4 per cell]  6 Se 2.97-2.98
Nd1 0.0000 0.5000 0.0000 [2 per cell]  6 Se 2.98-2.99
Pu1 0.0000 0.5000 0.5000 [2 per cell]  6 Se 2.92
Pu2 0.1663 0.0000 0.8334 [4 per cell]  6 Se 2.93
Se1 0.0009 0.0000 0.7452 [4 per cell]  3 Pu 2.92-2.93, 1 Ce 2.98, 2 Nd 2.99
Se2 0.1649 0.5000 0.5872 [4 per cell]  3 Pu 2.92-2.93, 3 Ce 2.97-2.98
Se3 0.1684 0.5000 0.0805 [4 per cell]  3 Pu 2.93, 2 Ce 2.98, 1 Nd 2.98

Electronic total energy ... -8.39 eV per atom
M_tot ... 15.724 μB/f.u.

---

The following is a PBE calculation of RbPm2Ru after structural relaxation, from Alexandria.

a = 4.1524 Å, b = 4.1524 Å, c = 33.8462 Å
α = 90.00°, β = 90.00°, γ = 120.00°
With the nearest neighbours (Å) after each atom.
Space group R-3m (No. 166, hexagonal axes)
Symmetry-distinct sites (fractional):
Rb1 0.0000 0.0000 0.0000 [3 per cell]  6 Rb 4.15, 2 Pm 4.19
Pm1 0.0000 0.0000 0.1237 [6 per cell]  3 Ru 2.80
Ru1 0.0000 0.0000 0.5000 [3 per cell]  6 Pm 2.80

Energy above the lowest structure with this stoichiometry ... 0.01 eV/f.u.
M_tot ... 0.000 μB/f.u.

---

The following is a PBE calculation of BeAu3 after structural relaxation, from Alexandria.

a = 3.3144 Å, b = 3.7503 Å, c = 5.4630 Å
α = 90.00°, β = 106.65°, γ = 90.00°
With the nearest neighbours (Å) after each atom.
Space group P2/m (No. 10)
Symmetry-distinct sites (fractional):
Be1 0.0000 0.0000 0.0000 [1 per cell]  4 Au 2.37
Au1 0.0000 0.0000 0.5000 [1 per cell]  2 Be 2.73, 8 Au 2.89-2.90
Au2 0.3647 0.5000 0.2206 [2 per cell]  2 Be 2.37

Electronic total energy ... -3.40 eV per atom
M_tot ... 0.000 μB/f.u.

---

The following is a PBE calculation of Ce2Si3IrPt12 after structural relaxation, from Alexandria.

a = 8.1677 Å, b = 8.1677 Å, c = 18.2650 Å
α = 90.00°, β = 90.00°, γ = 120.00°
With the nearest neighbours (Å) after each atom.
Space group R-3m (No. 166, hexagonal axes)
Symmetry-distinct sites (fractional):
Ce1 0.0000 0.0000 0.1163 [6 per cell]  6 Pt 2.78-2.90
Si1 0.0000 0.5000 0.0000 [9 per cell]  6 Pt 2.35-2.38
Ir1 0.0000 0.0000 0.5000 [3 per cell]  6 Pt 2.54
Pt1 0.0124 0.5062 0.8712 [18 per cell]  1 Si 2.35, 1 Ir 2.54
Pt2 0.0223 0.5111 0.3709 [18 per cell]  2 Si 2.38

Electronic total energy ... -6.50 eV per atom
M_tot ... 0.001 μB/f.u.

---

The following is a PBE calculation of K2BaSr after structural relaxation, from Alexandria.

a = 4.3116 Å, b = 4.3116 Å, c = 13.9575 Å
α = 90.00°, β = 90.00°, γ = 90.00°
With the nearest neighbours (Å) after each atom.
Space group P4/mmm (No. 123)
Symmetry-distinct sites (fractional):
K1 0.0000 0.0000 0.2436 [2 per cell]  4 K 4.31, 4 Sr 4.57, 4 Ba 4.70
Ba1 0.5000 0.5000 0.5000 [1 per cell]  4 Ba 4.31, 8 K 4.70
Sr1 0.5000 0.5000 0.0000 [1 per cell]  4 Sr 4.31, 8 K 4.57

Electronic total energy ... -1.33 eV per atom
M_tot ... 0.002 μB/f.u.

---

The following is a PBE calculation of CdHAuCl after structural relaxation, from Alexandria.

a = 3.1335 Å, b = 4.4228 Å, c = 6.0092 Å
α = 76.09°, β = 89.93°, γ = 89.82°
With the nearest neighbours (Å) after each atom.
Space group P1 (No. 1)
Symmetry-distinct sites (fractional):
Cd1 0.0000 0.0000 0.0000 [1 per cell]  1 H 2.40, 2 Cl 2.60
H1 0.9972 0.5313 0.2994 [1 per cell]  2 Au 1.82
Au1 0.4978 0.3697 0.2265 [1 per cell]  2 H 1.82
Cl1 0.5017 0.8949 0.6817 [1 per cell]  2 Cd 2.60

Energy above the lowest structure with this stoichiometry ... 0.24 eV/f.u.
M_tot ... 0.000 μB/f.u.

---

The following is a PBE calculation of Sm2Sc3Si4 after structural relaxation, from Alexandria.

a = 7.4372 Å, b = 7.4609 Å, c = 7.1547 Å
α = 90.00°, β = 108.07°, γ = 90.00°
With the nearest neighbours (Å) after each atom.
Space group P2_1/c (No. 14)
Symmetry-distinct sites (fractional):
Sm1 0.1946 0.1730 0.0741 [4 per cell]  6 Si 2.97-3.11
Sc1 0.2499 0.6786 0.2501 [4 per cell]  6 Si 2.75-2.85
Sc2 0.5000 0.0000 0.5000 [2 per cell]  6 Si 2.82-3.00
Si1 0.0779 0.5366 0.8704 [4 per cell]  1 Si 2.53, 3 Sc 2.75-2.83
Si2 0.4960 0.1206 0.8729 [4 per cell]  1 Si 2.55, 4 Sc 2.76-2.85

Electronic total energy ... -6.39 eV per atom
M_tot ... 0.000 μB/f.u.